The following is a DFT calculation (PBE) of crystalline LaSmCuGe at its relaxed geometry.

Values from the calculation:
Total magnetization: 0.00 μB per cell
Fermi-level density of states: 4.14 states/eV per cell
ΔH_f (0 K): -0.46 eV per atom

Cell: 5.1685 5.1685 5.1685 Å, 60.00 60.00 60.00°
With the nearest neighbours (Å) after each atom.
Fractional coordinates of all 4 atoms:
Ge1 0.2500 0.2500 0.2500  4 Sm 3.17, 4 La 3.17
Cu1 0.7500 0.7500 0.7500  4 La 3.17, 4 Sm 3.17
Sm1 0.5000 0.5000 0.5000  4 Cu 3.17, 4 Ge 3.17
La1 0.0000 0.0000 0.0000  4 Ge 3.17, 4 Cu 3.17

***

The following is a DFT calculation (PBE) of crystalline LaSmCu2Ge2 at its relaxed geometry.

Values from the calculation:
Total magnetization: 0.00 μB per cell
Fermi-level density of states: 1.35 states/eV per cell
ΔH_f (0 K): -0.68 eV per atom

Cell: 4.3129 4.3129 7.8982 Å, 90.00 90.00 120.00°
With the nearest neighbours (Å) after each atom.
Fractional coordinates of all 6 atoms:
La1 0.0000 0.0000 0.5000  6 Ge 3.22, 6 Cu 3.26
Sm1 0.0000 0.0000 0.0000  6 Cu 3.10, 6 Ge 3.14
Cu1 0.3333 0.6667 0.7665  3 Ge 2.49
Cu2 0.6667 0.3333 0.2335  3 Ge 2.49
Ge1 0.3333 0.6667 0.2414  3 Cu 2.49
Ge2 0.6667 0.3333 0.7586  3 Cu 2.49

***

The following is a DFT calculation (PBE) of crystalline La2Cu3SnGe4 at its relaxed geometry.

Values from the calculation:
Total magnetization: 0.00 μB per cell
Fermi-level density of states: 3.18 states/eV per cell
ΔH_f (0 K): -0.44 eV per atom

Cell: 4.3987 4.3987 10.3807 Å, 90.00 90.00 90.00°
With the nearest neighbours (Å) after each atom.
Fractional coordinates of all 10 atoms:
La1 0.5000 0.0000 0.2342  8 Ge 3.28-3.33, 7 Cu 3.34-3.64, 2 Sn 3.53
La2 0.0000 0.5000 0.7658  8 Ge 3.28-3.33, 7 Cu 3.34-3.64, 2 Sn 3.53
Cu1 0.0000 0.0000 0.5000  4 Ge 2.71
Cu2 0.5000 0.0000 0.8839  5 Ge 2.40-2.51
Cu3 0.0000 0.5000 0.1161  5 Ge 2.40-2.51
Sn1 0.5000 0.5000 0.5000  4 Ge 2.71
Ge1 0.5000 0.5000 0.0000  4 Cu 2.51
Ge2 0.0000 0.0000 0.0000  4 Cu 2.51
Ge3 0.5000 0.0000 0.6525  1 Cu 2.40
Ge4 0.0000 0.5000 0.3475  1 Cu 2.40

***

The following is a DFT calculation (PBE) of crystalline LaCuTcGe2 at its relaxed geometry.

Values from the calculation:
Total magnetization: 0.00 μB per cell
Fermi-level density of states: 3.69 states/eV per cell
ΔH_f (0 K): -0.42 eV per atom

Cell: 4.1334 4.1334 6.2974 Å, 109.16 109.16 90.00°
With the nearest neighbours (Å) after each atom.
Fractional coordinates of all 5 atoms:
La1 0.0000 0.0000 0.0000  8 Ge 3.24, 4 Tc 3.47, 4 Cu 3.47
Cu1 0.2500 0.7500 0.5000  4 Ge 2.49
Tc1 0.7500 0.2500 0.5000  4 Ge 2.49
Ge1 0.6262 0.6262 0.2524  2 Tc 2.49, 2 Cu 2.49
Ge2 0.3738 0.3738 0.7476  2 Tc 2.49, 2 Cu 2.49

***

The following is a DFT calculation (PBE) of crystalline LaCu2GeTe at its relaxed geometry.

Values from the calculation:
Total magnetization: 0.00 μB per cell
Fermi-level density of states: 4.84 states/eV per cell
Formation energy (no corrections): 1.2 eV per formula unit

Cell: 4.9941 6.3512 4.9941 Å, 90.00 90.00 90.00°
With the nearest neighbours (Å) after each atom.
Fractional coordinates of all 5 atoms:
Ge1 0.5000 0.5000 0.5000  4 La 3.53
Te1 0.0000 0.0000 0.0000  4 Cu 2.50
Cu1 0.0000 0.0000 0.5000  2 Te 2.50
Cu2 0.5000 0.0000 0.0000  2 Te 2.50
La1 0.0000 0.5000 0.0000  2 Te 3.18, 4 Ge 3.53

***

The following is a DFT calculation (PBE) of crystalline La2TmCu3Ge4 at its relaxed geometry.

Values from the calculation:
Total magnetization: 0.00 μB per cell
Fermi-level density of states: 2.22 states/eV per cell
ΔH_f (0 K): -0.58 eV per atom

Cell: 4.3551 4.3551 10.7998 Å, 90.00 90.00 90.00°
With the nearest neighbours (Å) after each atom.
Fractional coordinates of all 10 atoms:
La1 0.5000 0.0000 0.2268  8 Ge 3.28-3.32, 6 Cu 3.31-3.67, 2 Tm 3.67
La2 0.0000 0.5000 0.7732  8 Ge 3.28-3.32, 6 Cu 3.31-3.67, 2 Tm 3.67
Tm1 0.5000 0.5000 0.5000  4 Ge 2.77, 4 Cu 3.08
Cu1 0.0000 0.0000 0.5000  4 Ge 2.77, 4 Tm 3.08
Cu2 0.5000 0.0000 0.8853  5 Ge 2.45-2.51
Cu3 0.0000 0.5000 0.1147  5 Ge 2.45-2.51
Ge1 0.5000 0.5000 0.0000  4 Cu 2.51
Ge2 0.0000 0.0000 0.0000  4 Cu 2.51
Ge3 0.5000 0.0000 0.6589  1 Cu 2.45
Ge4 0.0000 0.5000 0.3411  1 Cu 2.45

***

Number 1: final energy -20.22 eV per cell. Number 2: final energy -31.14 eV per cell. Number 3: final energy -49.01 eV per cell. Number 4: final energy -30.75 eV per cell. Number 5: final energy -19.66 eV per cell. Number 6: final energy -50.90 eV per cell.